Entry 1:
Computed, not measured: a geometry-optimized Tm4In3Ni structure at the GGA-PBE level of DFT.

Output
E_tot ... -4.4276 eV/atom
DOS at the Fermi energy ... 6.5 states/eV/f.u.
Energy of formation ... -0.442 eV/atom
Theoretical density ... 9.384 Mg/m³

Lattice parameters (Å, degrees): 3.441 3.441 16.122 90.00 90.00 90.00
Fractional coordinates of all 8 atoms:
Tm: 0.000 0.000 0.099
Tm: 0.000 0.000 0.367
Tm: 0.000 0.000 0.633
Tm: 0.000 0.000 0.901
In: 0.500 0.500 0.234
In: 0.500 0.500 0.500
In: 0.500 0.500 0.766
Ni: 0.500 0.500 0.000

=====

Entry 2:
Computed, not measured: a geometry-optimized TmIn2Ni9 structure at the GGA-PBE level of DFT.

Output
E_tot ... -5.3838 eV/atom
DOS at the Fermi energy ... 18.3 states/eV/f.u.
Relative energy among the computed polymorphs ... 0 meV per atom
Energy of formation ... -0.219 eV/atom
Theoretical density ... 9.416 Mg/m³

Lattice parameters (Å, degrees): 8.234 8.234 4.822 90.00 90.00 90.00
Fractional coordinates of all 24 atoms:
Tm: 0.000 0.000 0.000
Tm: 0.500 0.500 0.000
In: 0.125 0.375 0.000
In: 0.375 0.875 0.000
In: 0.625 0.125 0.000
In: 0.875 0.625 0.000
Ni: 0.000 0.500 0.500
Ni: 0.063 0.205 0.500
Ni: 0.177 0.677 0.248
Ni: 0.177 0.677 0.752
Ni: 0.205 0.937 0.500
Ni: 0.295 0.437 0.500
Ni: 0.323 0.177 0.248
Ni: 0.323 0.177 0.752
Ni: 0.437 0.705 0.500
Ni: 0.500 0.000 0.500
Ni: 0.563 0.295 0.500
Ni: 0.677 0.823 0.248
Ni: 0.677 0.823 0.752
Ni: 0.705 0.563 0.500
Ni: 0.795 0.063 0.500
Ni: 0.823 0.323 0.248
Ni: 0.823 0.323 0.752
Ni: 0.937 0.795 0.500

=====

Entry 3:
Computed, not measured: a geometry-optimized Tm4InNi structure at the GGA-PBE level of DFT.

Output
E_tot ... -4.5479 eV/atom
DOS at the Fermi energy ... 6.9 states/eV/f.u.
Relative energy among the computed polymorphs ... 235 meV per atom
Energy of formation ... -0.147 eV/atom
Theoretical density ... 8.342 Mg/m³

Lattice parameters (Å, degrees): 7.208 6.988 6.728 90.00 93.76 90.00
Fractional coordinates of all 12 atoms:
Tm: 0.137 0.167 0.182
Tm: 0.137 0.333 0.682
Tm: 0.313 0.639 0.104
Tm: 0.313 0.861 0.604
Tm: 0.687 0.139 0.396
Tm: 0.687 0.361 0.896
Tm: 0.863 0.667 0.318
Tm: 0.863 0.833 0.818
In: 0.500 0.000 0.000
In: 0.500 0.500 0.500
Ni: 0.000 0.000 0.500
Ni: 0.000 0.500 0.000

=====

Entry 4:
Computed, not measured: a geometry-optimized TmInNi5 structure at the GGA-PBE level of DFT.

Output
E_tot ... -5.4942 eV/atom
DOS at the Fermi energy ... 7.8 states/eV/f.u.
Energy of formation ... -0.335 eV/atom
Theoretical density ... 9.627 Mg/m³

Lattice parameters (Å, degrees): 8.039 4.814 10.290 90.00 90.00 90.00
Fractional coordinates of all 28 atoms:
Tm: 0.248 0.250 0.062
Tm: 0.252 0.750 0.562
Tm: 0.748 0.250 0.438
Tm: 0.752 0.750 0.938
In: 0.137 0.250 0.363
In: 0.363 0.750 0.863
In: 0.637 0.250 0.137
In: 0.863 0.750 0.637
Ni: 0.046 0.250 0.604
Ni: 0.066 0.501 0.811
Ni: 0.066 0.999 0.811
Ni: 0.083 0.750 0.017
Ni: 0.190 0.750 0.240
Ni: 0.310 0.250 0.740
Ni: 0.417 0.250 0.517
Ni: 0.434 0.001 0.311
Ni: 0.434 0.499 0.311
Ni: 0.454 0.750 0.104
Ni: 0.546 0.250 0.896
Ni: 0.566 0.501 0.689
Ni: 0.566 0.999 0.689
Ni: 0.583 0.750 0.483
Ni: 0.690 0.750 0.260
Ni: 0.810 0.250 0.760
Ni: 0.917 0.250 0.983
Ni: 0.934 0.001 0.189
Ni: 0.934 0.499 0.189
Ni: 0.954 0.750 0.396

=====

Entry 5:
Computed, not measured: a geometry-optimized Tm4InNi2 structure at the GGA-PBE level of DFT.

Output
E_tot ... -4.8379 eV/atom
DOS at the Fermi energy ... 6.3 states/eV/f.u.
Energy of formation ... -0.240 eV/atom
Theoretical density ... 8.876 Mg/m³

Lattice parameters (Å, degrees): 9.308 9.308 9.308 29.20 29.20 29.20
Fractional coordinates of all 7 atoms:
Tm: 0.110 0.110 0.110
Tm: 0.298 0.298 0.298
Tm: 0.702 0.702 0.702
Tm: 0.890 0.890 0.890
In: 0.500 0.500 0.500
Ni: 0.401 0.401 0.401
Ni: 0.599 0.599 0.599

=====

Entry 6:
Computed, not measured: a geometry-optimized TmIn2Ni6 structure at the GGA-PBE level of DFT.

Output
E_tot ... -4.9844 eV/atom
DOS at the Fermi energy ... 8.6 states/eV/f.u.
Energy of formation ... -0.025 eV/atom
Theoretical density ... 9.137 Mg/m³

Lattice parameters (Å, degrees): 7.442 7.442 7.442 156.16 124.51 61.24
Fractional coordinates of all 9 atoms:
Tm: 0.000 0.000 0.000
In: 0.356 0.856 0.500
In: 0.644 0.144 0.500
Ni: 0.005 0.324 0.680
Ni: 0.323 0.500 0.823
Ni: 0.356 0.676 0.680
Ni: 0.644 0.324 0.320
Ni: 0.677 0.500 0.177
Ni: 0.995 0.676 0.320

=====

Entry 7:
Computed, not measured: a geometry-optimized Tm6In2Ni structure at the GGA-PBE level of DFT.

Output
E_tot ... -4.3497 eV/atom
DOS at the Fermi energy ... 3.9 states/eV/f.u.
Energy of formation ... -0.118 eV/atom
Theoretical density ... 8.276 Mg/m³

Lattice parameters (Å, degrees): 8.527 8.527 8.527 145.94 130.54 61.42
Fractional coordinates of all 9 atoms:
Tm: 0.083 0.346 0.737
Tm: 0.224 0.000 0.224
Tm: 0.391 0.654 0.737
Tm: 0.609 0.346 0.263
Tm: 0.776 0.000 0.776
Tm: 0.917 0.654 0.263
In: 0.333 0.833 0.500
In: 0.667 0.167 0.500
Ni: 0.000 0.500 0.500

=====

Entry 8:
Computed, not measured: a geometry-optimized Tm3InNi structure at the GGA-PBE level of DFT.

Output
E_tot ... -4.6131 eV/atom
DOS at the Fermi energy ... 6.3 states/eV/f.u.
Relative energy among the computed polymorphs ... 98 meV per atom
Energy of formation ... -0.226 eV/atom
Theoretical density ... 8.421 Mg/m³

Lattice parameters (Å, degrees): 5.119 5.119 5.119 90.00 90.00 90.00
Fractional coordinates of all 5 atoms:
Tm: 0.000 0.000 0.500
Tm: 0.000 0.500 0.000
Tm: 0.500 0.000 0.000
In: 0.500 0.500 0.500
Ni: 0.000 0.000 0.000

=====

Entry 9:
Computed, not measured: a geometry-optimized YTmInNi structure at the GGA-PBE level of DFT.

Output
E_tot ... -5.1964 eV/atom
DOS at the Fermi energy ... 3.8 states/eV/f.u.
Energy of formation ... -0.333 eV/atom
Theoretical density ... 7.797 Mg/m³

Lattice parameters (Å, degrees): 5.065 5.065 5.065 60.00 60.00 60.00
Fractional coordinates of all 4 atoms:
Y: 0.000 0.000 0.000
Tm: 0.500 0.500 0.500
In: 0.250 0.250 0.250
Ni: 0.750 0.750 0.750

=====

Entry 10:
Computed, not measured: a geometry-optimized Tm2Zn2InNi5 structure at the GGA-PBE level of DFT.

Output
E_tot ... -4.6293 eV/atom
DOS at the Fermi energy ... 6.3 states/eV/f.u.
Energy of formation ... -0.316 eV/atom
Theoretical density ... 9.363 Mg/m³

Lattice parameters (Å, degrees): 9.264 9.264 3.625 90.00 90.00 90.00
Fractional coordinates of all 20 atoms:
Tm: 0.179 0.321 0.000
Tm: 0.321 0.821 0.000
Tm: 0.679 0.179 0.000
Tm: 0.821 0.679 0.000
Zn: 0.117 0.617 0.000
Zn: 0.383 0.117 0.000
Zn: 0.617 0.883 0.000
Zn: 0.883 0.383 0.000
In: 0.000 0.000 0.000
In: 0.500 0.500 0.000
Ni: 0.000 0.500 0.500
Ni: 0.064 0.787 0.500
Ni: 0.213 0.064 0.500
Ni: 0.287 0.564 0.500
Ni: 0.436 0.287 0.500
Ni: 0.500 0.000 0.500
Ni: 0.564 0.713 0.500
Ni: 0.713 0.436 0.500
Ni: 0.787 0.936 0.500
Ni: 0.936 0.213 0.500

=====

Entry 11:
Computed, not measured: a geometry-optimized TmZnInNi structure at the GGA-PBE level of DFT.

Output
E_tot ... -3.9123 eV/atom
DOS at the Fermi energy ... 2.4 states/eV/f.u.
Energy of formation ... -0.346 eV/atom
Theoretical density ... 9.401 Mg/m³

Lattice parameters (Å, degrees): 4.671 4.671 4.671 60.00 60.00 60.00
Fractional coordinates of all 4 atoms:
Tm: 0.000 0.000 0.000
Zn: 0.750 0.750 0.750
In: 0.500 0.500 0.500
Ni: 0.250 0.250 0.250

=====

Entry 12:
Computed, not measured: a geometry-optimized U2In8Ni structure at the GGA-PBE level of DFT.

Output
E_tot ... -4.6139 eV/atom
DOS at the Fermi energy ... 13.5 states/eV/f.u.
Energy of formation ... -0.044 eV/atom
Theoretical density ... 9.237 Mg/m³

Lattice parameters (Å, degrees): 4.634 4.634 12.166 90.00 90.00 90.00
Fractional coordinates of all 11 atoms:
U: 0.000 0.000 0.192
U: 0.000 0.000 0.808
In: 0.000 0.500 0.000
In: 0.000 0.500 0.378
In: 0.000 0.500 0.622
In: 0.500 0.000 0.000
In: 0.500 0.000 0.378
In: 0.500 0.000 0.622
In: 0.500 0.500 0.192
In: 0.500 0.500 0.808
Ni: 0.000 0.000 0.500

=====

Entry 13:
Computed, not measured: a geometry-optimized U2In2Ni15 structure at the GGA-PBE level of DFT.

Output
E_tot ... -6.1051 eV/atom
DOS at the Fermi energy ... 29.6 states/eV/f.u.
Energy of formation ... -0.064 eV/atom
Theoretical density ... 10.342 Mg/m³

Lattice parameters (Å, degrees): 6.411 6.411 6.411 80.98 80.98 80.98
Fractional coordinates of all 19 atoms:
U: 0.100 0.100 0.100
U: 0.900 0.900 0.900
In: 0.368 0.368 0.368
In: 0.632 0.632 0.632
Ni: 0.000 0.000 0.500
Ni: 0.000 0.325 0.675
Ni: 0.000 0.500 0.000
Ni: 0.000 0.675 0.325
Ni: 0.167 0.660 0.660
Ni: 0.325 0.000 0.675
Ni: 0.325 0.675 0.000
Ni: 0.340 0.340 0.833
Ni: 0.340 0.833 0.340
Ni: 0.500 0.000 0.000
Ni: 0.660 0.167 0.660
Ni: 0.660 0.660 0.167
Ni: 0.675 0.000 0.325
Ni: 0.675 0.325 0.000
Ni: 0.833 0.340 0.340

=====

Entry 14:
Computed, not measured: a geometry-optimized UInNi6 structure at the GGA-PBE level of DFT.

Output
E_tot ... -6.2715 eV/atom
DOS at the Fermi energy ... 5.2 states/eV/f.u.
Relative energy among the computed polymorphs ... 0 meV per atom
Energy of formation ... -0.182 eV/atom
Theoretical density ... 10.960 Mg/m³

Lattice parameters (Å, degrees): 5.312 5.312 4.371 90.00 90.00 120.00
Fractional coordinates of all 8 atoms:
U: 0.000 0.000 0.000
In: 0.333 0.667 0.500
Ni: 0.347 0.174 0.500
Ni: 0.508 0.017 0.000
Ni: 0.508 0.492 0.000
Ni: 0.826 0.174 0.500
Ni: 0.826 0.653 0.500
Ni: 0.983 0.492 0.000

=====

Entry 15:
Computed, not measured: a geometry-optimized UInNi2 structure at the GGA-PBE level of DFT.

Output
E_tot ... -6.4951 eV/atom
DOS at the Fermi energy ... 5.6 states/eV/f.u.
Energy of formation ... -0.098 eV/atom
Theoretical density ... 11.961 Mg/m³

Lattice parameters (Å, degrees): 3.036 3.036 7.084 90.00 90.00 90.00
Fractional coordinates of all 4 atoms:
U: 0.000 0.000 0.000
In: 0.000 0.000 0.500
Ni: 0.500 0.500 0.251
Ni: 0.500 0.500 0.749

=====

Entry 16:
Computed, not measured: a geometry-optimized UInNi6 structure at the GGA-PBE level of DFT.

Output
E_tot ... -6.2674 eV/atom
DOS at the Fermi energy ... 6.5 states/eV/f.u.
Relative energy among the computed polymorphs ... 4 meV per atom
Energy of formation ... -0.178 eV/atom
Theoretical density ... 10.842 Mg/m³

Lattice parameters (Å, degrees): 3.814 3.814 7.422 90.00 90.00 90.00
Fractional coordinates of all 8 atoms:
U: 0.000 0.000 0.000
In: 0.000 0.000 0.500
Ni: 0.000 0.500 0.244
Ni: 0.000 0.500 0.756
Ni: 0.500 0.000 0.244
Ni: 0.500 0.000 0.756
Ni: 0.500 0.500 0.000
Ni: 0.500 0.500 0.500

=====

Entry 17:
Computed, not measured: a geometry-optimized UInNi2 structure at the GGA-PBE level of DFT.

Output
E_tot ... -6.4954 eV/atom
DOS at the Fermi energy ... 6.5 states/eV/f.u.
Energy of formation ... -0.098 eV/atom
Theoretical density ... 11.362 Mg/m³

Lattice parameters (Å, degrees): 4.598 4.598 4.598 60.00 60.00 60.00
Fractional coordinates of all 4 atoms:
U: 0.000 0.000 0.000
In: 0.500 0.500 0.500
Ni: 0.250 0.250 0.250
Ni: 0.750 0.750 0.750

=====

Entry 18:
Computed, not measured: a geometry-optimized UInNi10 structure at the GGA-PBE level of DFT.

Output
E_tot ... -6.0854 eV/atom
DOS at the Fermi energy ... 14.4 states/eV/f.u.
Energy of formation ... -0.099 eV/atom
Theoretical density ... 9.855 Mg/m³

Lattice parameters (Å, degrees): 4.009 4.789 8.249 90.00 90.00 90.00
Fractional coordinates of all 12 atoms:
U: 0.000 0.000 0.000
In: 0.000 0.500 0.500
Ni: 0.000 0.000 0.333
Ni: 0.000 0.000 0.667
Ni: 0.000 0.500 0.172
Ni: 0.000 0.500 0.828
Ni: 0.500 0.000 0.500
Ni: 0.500 0.246 0.246
Ni: 0.500 0.246 0.754
Ni: 0.500 0.500 0.000
Ni: 0.500 0.754 0.246
Ni: 0.500 0.754 0.754

=====

Entry 19:
Computed, not measured: a geometry-optimized U2InNi2 structure at the GGA-PBE level of DFT.

Output
E_tot ... -7.4812 eV/atom
DOS at the Fermi energy ... 7.2 states/eV/f.u.
Energy of formation ... -0.106 eV/atom
Theoretical density ... 12.680 Mg/m³

Lattice parameters (Å, degrees): 7.523 7.523 3.278 90.00 90.00 90.00
Fractional coordinates of all 10 atoms:
U: 0.123 0.377 0.000
U: 0.377 0.877 0.000
U: 0.623 0.123 0.000
U: 0.877 0.623 0.000
In: 0.000 0.000 0.500
In: 0.500 0.500 0.500
Ni: 0.178 0.678 0.500
Ni: 0.322 0.178 0.500
Ni: 0.678 0.822 0.500
Ni: 0.822 0.322 0.500

=====

Entry 20:
Computed, not measured: a geometry-optimized UZnInNi structure at the GGA-PBE level of DFT.

Output
E_tot ... -5.2487 eV/atom
DOS at the Fermi energy ... 8.8 states/eV/f.u.
Energy of formation ... 0.022 eV/atom
Theoretical density ... 10.655 Mg/m³

Lattice parameters (Å, degrees): 4.719 4.719 4.719 60.00 60.00 60.00
Fractional coordinates of all 4 atoms:
U: 0.000 0.000 0.000
Zn: 0.750 0.750 0.750
In: 0.500 0.500 0.500
Ni: 0.250 0.250 0.250

=====

Entry 21:
Computed, not measured: a geometry-optimized VInNi5 structure at the GGA-PBE level of DFT.

Output
E_tot ... -5.9340 eV/atom
DOS at the Fermi energy ... 2.3 states/eV/f.u.
Energy of formation ... -0.111 eV/atom
Theoretical density ... 8.129 Mg/m³

Lattice parameters (Å, degrees): 3.556 3.556 7.418 90.00 90.00 90.00
Fractional coordinates of all 7 atoms:
V: 0.000 0.000 0.000
In: 0.500 0.500 0.500
Ni: 0.000 0.500 0.231
Ni: 0.000 0.500 0.769
Ni: 0.500 0.000 0.231
Ni: 0.500 0.000 0.769
Ni: 0.500 0.500 0.000

=====

Entry 22:
Computed, not measured: a geometry-optimized VIn2Ni structure at the GGA-PBE level of DFT.

Output
E_tot ... -4.9359 eV/atom
DOS at the Fermi energy ... 2.5 states/eV/f.u.
Relative energy among the computed polymorphs ... 0 meV per atom
Energy of formation ... 0.158 eV/atom
Theoretical density ... 8.175 Mg/m³

Lattice parameters (Å, degrees): 4.602 4.602 4.602 60.00 60.00 60.00
Fractional coordinates of all 4 atoms:
V: 0.000 0.000 0.000
In: 0.250 0.250 0.250
In: 0.750 0.750 0.750
Ni: 0.500 0.500 0.500